13
Lattice="5.131 0.000 2.051 2.630 6.834 0.863 0.031 -0.338 7.366" Properties=species:S:1:pos:R:3 comment="Zn6Cd6In, optimized geometry, DFT PBE" e_form_ev_per_atom=0.055 pbc="T T T"
Cd 0.932 2.149 5.111
Zn 2.581 -0.169 4.708
Cd 4.291 2.209 4.151
Cd 3.501 4.288 6.129
Zn 1.315 3.417 0.432
In 0.000 0.000 0.000
Cd 2.126 1.157 2.125
Zn 3.880 3.417 1.457
Cd 5.666 5.340 8.155
Zn 3.218 1.377 6.837
Zn 4.574 5.119 3.443
Zn 0.016 -0.169 3.683
Cd 1.729 4.347 3.118

---

18
Lattice="-4.912 7.230 4.017 0.145 2.201 9.363 3.968 7.937 3.713" Properties=species:S:1:pos:R:3 comment="CaAc2Mg12Cd3, optimized geometry, DFT PBE" e_form_ev_per_atom=0.233 pbc="T T T"
Mg 1.152 11.698 12.656
Mg -0.714 12.100 7.289
Cd 1.984 3.969 1.857
Ac -0.465 10.128 9.967
Mg -0.084 5.269 9.804
Mg -0.714 13.554 10.683
Mg -3.329 8.497 6.373
Mg 2.531 8.872 10.720
Mg -3.168 8.419 10.915
Mg 1.326 5.932 4.325
Mg 2.370 8.950 6.178
Mg -1.950 5.671 4.437
Ca 0.000 0.000 0.000
Ac -0.333 7.241 7.126
Mg -2.125 11.437 12.768
Cd -2.456 3.615 2.008
Cd 0.072 1.101 4.682
Mg -0.085 3.815 6.410

---

8
Lattice="-1.481 -1.749 2.302 -0.395 -0.771 -3.131 7.227 -5.529 0.450" Properties=species:S:1:pos:R:3 comment="Be2AlB, optimized geometry, DFT PBE" e_form_ev_per_atom=0.022 pbc="T T T"
B 1.425 -3.369 0.650
Al 5.650 -5.998 -0.921
Be 2.213 -1.693 0.138
Al -0.299 -2.050 0.542
Be 5.014 -3.835 0.312
Be 2.305 -3.439 -1.129
Be 3.046 -4.609 0.750
B 3.927 -4.679 -1.029

---

20
Lattice="5.828 0.000 -0.035 0.000 5.908 0.000 -0.001 0.000 8.276" Properties=species:S:1:pos:R:3 comment="Sr2TbTcO6, optimized geometry, DFT PBE" raw_formation_energy_ev_per_atom=-2.583 pbc="T T T"
O 5.381 3.080 1.897
O 3.360 0.126 2.188
Sr 2.965 3.177 6.188
Sr 2.862 2.731 2.052
O 4.493 4.741 4.437
O 1.134 1.348 0.345
Sr 5.775 0.223 6.173
O 1.780 4.302 3.776
Tc 2.913 0.000 4.120
O 4.693 4.560 7.896
Tb 0.000 2.954 4.138
O 4.247 1.787 7.923
O 0.446 2.828 6.343
Tc 0.000 2.954 0.000
Tb 2.914 0.000 -0.018
O 2.467 5.782 6.053
O 4.047 1.606 4.465
Sr 0.052 5.685 2.068
O 1.580 4.121 0.317
O 1.334 1.167 3.803

---

4
Lattice="-1.957 1.724 0.901 -2.601 -1.448 -2.876 -1.713 -3.737 3.431" Properties=species:S:1:pos:R:3 comment="MgRe3, optimized geometry, DFT PBE" e_form_ev_per_atom=0.309 pbc="T T T"
Mg -2.707 -0.796 -0.130
Re -3.564 -2.665 1.586
Re -0.857 -1.870 1.717
Re -1.712 -3.735 3.430

---

12
Lattice="-2.225 2.335 2.114 -2.668 -0.022 -2.785 -5.034 -9.231 4.896" Properties=species:S:1:pos:R:3 comment="Ti2PdRh9, optimized geometry, DFT PBE" e_form_ev_per_atom=-0.401 pbc="T T T"
Ti -3.351 -6.145 3.260
Rh -3.630 -3.448 3.505
Rh -2.447 1.156 -0.335
Rh -5.798 -4.989 2.925
Ti -1.683 -3.085 1.637
Rh -1.968 -0.400 1.888
Rh -5.292 -6.496 5.122
Rh -3.851 -4.626 1.056
Rh -5.513 -7.674 2.673
Rh -4.129 -1.928 1.301
Pd 0.000 0.000 0.000
Rh -2.189 -1.579 -0.561

---

| no. | total magnetization (μB per cell) |
| --- | --- |
| 1 | 0.00 |
| 2 | 0.00 |
| 3 | 0.00 |
| 4 | 4.00 |
| 5 | 0.00 |
| 6 | 0.00 |